No. 1
BeSbAs2Se | PBEsol | relaxed

```
5
Lattice="5.210 0.000 0.000 0.000 5.210 0.000 0.000 0.000 5.174" Properties=species:S:1:pos:R:3 pbc="T T T"
Be 0.000 0.000 0.000
Sb 2.605 2.605 2.587
As 0.000 2.605 2.587
As 2.605 0.000 2.587
Se 2.605 2.605 0.000
```

Summary:
- Total moment: 0.00 μB/f.u.
- Raw formation energy: 1.3186 eV/atom
- Final energy: -16.0 eV for the cell shown

---

No. 2
CrPdF3 | PBEsol | relaxed

```
5
Lattice="4.181 0.000 0.000 0.000 4.181 0.000 0.000 0.000 4.181" Properties=species:S:1:pos:R:3 pbc="T T T"
Cr 0.000 0.000 0.000
Pd 2.090 2.090 2.090
F 0.000 2.090 2.090
F 2.090 0.000 2.090
F 2.090 2.090 0.000
```

Summary:
- Total moment: 4.88 μB/f.u.
- Raw formation energy: -0.7092 eV/atom
- Final energy: -25.5 eV for the cell shown

---

No. 3
Ag3HgOs | PBEsol | relaxed

```
5
Lattice="4.993 0.000 0.000 0.000 4.993 0.000 0.000 0.000 4.993" Properties=species:S:1:pos:R:3 pbc="T T T"
Ag 0.000 0.000 2.496
Ag 0.000 2.496 0.000
Ag 2.496 0.000 0.000
Hg 2.496 2.496 2.496
Os 0.000 0.000 0.000
```

Summary:
- Total moment: 2.01 μB/f.u.
- Final energy: -15.0 eV for the cell shown
- ΔH_f (0 K): 746 kJ/mol of formula units